Material: Pm4Y2H
Method: DFT, PBE-GGA
State: optimized geometry

The structure in CIF format:
```
data_Pm4Y2H
_chemical_formula_sum 'Pm8 Y4 H2'
_cell_length_a 4.943
_cell_length_b 4.943
_cell_length_c 17.490
_cell_angle_alpha 90.00
_cell_angle_beta 90.00
_cell_angle_gamma 90.00
_symmetry_space_group_name_H-M 'I 4/m m m'
_symmetry_Int_Tables_number 139
_symmetry_space_group_name_Hall '-I 4 2'
loop_
_atom_site_label
_atom_site_fract_x
_atom_site_fract_y
_atom_site_fract_z
Pm1 0.000 0.000 0.151
Pm2 0.000 0.500 0.000
Y1 0.000 0.000 0.353
H1 0.000 0.000 0.000
```

Summary:
E_tot ... -69.50 eV for the cell shown

***

Material: SiAg4Te
Method: DFT, PBE-GGA
State: optimized geometry

The structure in CIF format:
```
data_SiAg4Te
_chemical_formula_sum 'Si4 Ag16 Te4'
_cell_length_a 7.907
_cell_length_b 7.907
_cell_length_c 7.907
_cell_angle_alpha 90.00
_cell_angle_beta 90.00
_cell_angle_gamma 90.00
_symmetry_space_group_name_H-M 'F -4 3 m'
_symmetry_Int_Tables_number 216
_symmetry_space_group_name_Hall 'F -4 2 3'
loop_
_atom_site_label
_atom_site_fract_x
_atom_site_fract_y
_atom_site_fract_z
Si1 0.000 0.000 0.000
Ag1 0.126 0.126 0.374
Te1 0.250 0.250 0.750
```

Summary:
E_form (uncorrected) ... 0.353 eV per atom
E_tot ... -71.42 eV for the cell shown

***

Material: Pr4NdSm4
Method: DFT, PBE-GGA
State: optimized geometry

The structure in CIF format:
```
data_Pr4NdSm4
_chemical_formula_sum 'Pr8 Nd2 Sm8'
_cell_length_a 11.021
_cell_length_b 11.021
_cell_length_c 5.196
_cell_angle_alpha 90.00
_cell_angle_beta 90.00
_cell_angle_gamma 90.00
_symmetry_space_group_name_H-M 'I 4/m m m'
_symmetry_Int_Tables_number 139
_symmetry_space_group_name_Hall '-I 4 2'
loop_
_atom_site_label
_atom_site_fract_x
_atom_site_fract_y
_atom_site_fract_z
Pr1 0.167 0.167 0.000
Nd1 0.000 0.000 0.500
Sm1 0.000 0.335 0.500
```

Summary:
Energy relative to the elements ... 1.4 kJ per mole of atoms
E_tot ... -85.27 eV for the cell shown

***

Material: Tl12I3O5
Method: DFT, PBE-GGA
State: optimized geometry

The structure in CIF format:
```
data_Tl12I3O5
_chemical_formula_sum 'Tl96 I24 O40'
_cell_length_a 17.327
_cell_length_b 17.327
_cell_length_c 17.327
_cell_angle_alpha 90.00
_cell_angle_beta 90.00
_cell_angle_gamma 90.00
_symmetry_space_group_name_H-M 'I a -3 d'
_symmetry_Int_Tables_number 230
_symmetry_space_group_name_Hall '-I 4bd 2c 3'
loop_
_atom_site_label
_atom_site_fract_x
_atom_site_fract_y
_atom_site_fract_z
Tl1 0.042 0.049 0.645
I1 0.000 0.250 0.125
O1 0.000 0.000 0.000
O2 0.000 0.250 0.375
```

Summary:
E_form (uncorrected) ... -0.413 eV per atom
E_tot ... -528.76 eV for the cell shown

***

Material: Ca12Al5Ga3
Method: DFT, PBE-GGA
State: optimized geometry

The structure in CIF format:
```
data_Ca12Al5Ga3
_chemical_formula_sum 'Ca96 Al40 Ga24'
_cell_length_a 18.088
_cell_length_b 18.088
_cell_length_c 18.088
_cell_angle_alpha 90.00
_cell_angle_beta 90.00
_cell_angle_gamma 90.00
_symmetry_space_group_name_H-M 'I a -3 d'
_symmetry_Int_Tables_number 230
_symmetry_space_group_name_Hall '-I 4bd 2c 3'
loop_
_atom_site_label
_atom_site_fract_x
_atom_site_fract_y
_atom_site_fract_z
Ca1 0.018 0.078 0.649
Al1 0.000 0.000 0.000
Al2 0.000 0.250 0.375
Ga1 0.000 0.250 0.125
```

Summary:
Energy relative to the elements ... 23.5 kJ per mole of atoms
E_tot ... -375.50 eV for the cell shown

***

Material: Na2CdBiRh
Method: DFT, PBE-GGA
State: optimized geometry

The structure in CIF format:
```
data_Na2CdBiRh
_chemical_formula_sum 'Na2 Cd1 Bi1 Rh1'
_cell_length_a 5.937
_cell_length_b 5.937
_cell_length_c 5.061
_cell_angle_alpha 90.00
_cell_angle_beta 90.00
_cell_angle_gamma 90.00
_symmetry_space_group_name_H-M 'P 4/m m m'
_symmetry_Int_Tables_number 123
_symmetry_space_group_name_Hall '-P 4 2'
loop_
_atom_site_label
_atom_site_fract_x
_atom_site_fract_y
_atom_site_fract_z
Na1 0.000 0.500 0.000
Cd1 0.000 0.000 0.500
Bi1 0.500 0.500 0.000
Rh1 0.500 0.500 0.500
```

Summary:
Energy relative to the elements ... 38.4 kJ per mole of atoms
E_tot ... -12.79 eV for the cell shown

***

Material: YAl2Fe
Method: DFT, PBE-GGA
State: optimized geometry

The structure in CIF format:
```
data_YAl2Fe
_chemical_formula_sum 'Y3 Al6 Fe3'
_cell_length_a 4.2221
_cell_length_b 4.2221
_cell_length_c 14.8671
_cell_angle_alpha 90.00
_cell_angle_beta 90.00
_cell_angle_gamma 120.00
_symmetry_space_group_name_H-M 'R 3 m'
_symmetry_Int_Tables_number 160
_symmetry_space_group_name_Hall 'R 3 -2"'
loop_
_atom_site_label
_atom_site_fract_x
_atom_site_fract_y
_atom_site_fract_z
Y1 0.0000 0.0000 0.0000
Al1 0.0000 0.0000 0.5319
Al2 0.0000 0.0000 0.7993
Fe1 0.0000 0.0000 0.1871
```

Summary:
Energy relative to the elements ... -22.4 kJ per mole of atoms
E_tot ... -70.02 eV for the cell shown

***

Material: FeMoBr
Method: DFT, PBE-GGA
State: optimized geometry

The structure in CIF format:
```
data_FeMoBr
_chemical_formula_sum 'Fe4 Mo4 Br4'
_cell_length_a 6.001
_cell_length_b 6.001
_cell_length_c 6.001
_cell_angle_alpha 90.00
_cell_angle_beta 90.00
_cell_angle_gamma 90.00
_symmetry_space_group_name_H-M 'F -4 3 m'
_symmetry_Int_Tables_number 216
_symmetry_space_group_name_Hall 'F -4 2 3'
loop_
_atom_site_label
_atom_site_fract_x
_atom_site_fract_y
_atom_site_fract_z
Fe1 0.000 0.000 0.000
Mo1 0.250 0.250 0.750
Br1 0.000 0.000 0.500
```

Summary:
E_form (uncorrected) ... 0.989 eV per atom
E_tot ... -71.99 eV for the cell shown

***

Material: Ba4ScZn
Method: DFT, PBE-GGA
State: optimized geometry

The structure in CIF format:
```
data_Ba4ScZn
_chemical_formula_sum 'Ba16 Sc4 Zn4'
_cell_length_a 10.433
_cell_length_b 10.433
_cell_length_c 10.433
_cell_angle_alpha 90.00
_cell_angle_beta 90.00
_cell_angle_gamma 90.00
_symmetry_space_group_name_H-M 'F -4 3 m'
_symmetry_Int_Tables_number 216
_symmetry_space_group_name_Hall 'F -4 2 3'
loop_
_atom_site_label
_atom_site_fract_x
_atom_site_fract_y
_atom_site_fract_z
Ba1 0.125 0.125 0.125
Sc1 0.250 0.250 0.750
Zn1 0.000 0.000 0.500
```

Summary:
Energy relative to the elements ... 62.9 kJ per mole of atoms
E_tot ... -45.53 eV for the cell shown

***

Material: Zr2SiHg
Method: DFT, PBE-GGA
State: optimized geometry

The structure in CIF format:
```
data_Zr2SiHg
_chemical_formula_sum 'Zr2 Si1 Hg1'
_cell_length_a 4.416
_cell_length_b 4.416
_cell_length_c 4.070
_cell_angle_alpha 90.00
_cell_angle_beta 90.00
_cell_angle_gamma 90.00
_symmetry_space_group_name_H-M 'P 4/m m m'
_symmetry_Int_Tables_number 123
_symmetry_space_group_name_Hall '-P 4 2'
loop_
_atom_site_label
_atom_site_fract_x
_atom_site_fract_y
_atom_site_fract_z
Zr1 0.000 0.500 0.000
Si1 0.000 0.000 0.500
Hg1 0.500 0.500 0.500
```

Summary:
E_form (uncorrected) ... -0.302 eV per atom
E_tot ... -24.03 eV for the cell shown

***

Material: MgAl2As
Method: DFT, PBE-GGA
State: optimized geometry

The structure in CIF format:
```
data_MgAl2As
_chemical_formula_sum 'Mg1 Al2 As1'
_cell_length_a 4.235
_cell_length_b 3.692
_cell_length_c 5.152
_cell_angle_alpha 90.00
_cell_angle_beta 108.13
_cell_angle_gamma 90.00
_symmetry_space_group_name_H-M 'P 1 2/m 1'
_symmetry_Int_Tables_number 10
_symmetry_space_group_name_Hall '-P 2y'
loop_
_atom_site_label
_atom_site_fract_x
_atom_site_fract_y
_atom_site_fract_z
Mg1 0.000 0.000 0.000
Al1 0.000 0.500 0.500
Al2 0.500 0.000 0.500
As1 0.500 0.500 0.000
```

Summary:
Energy relative to the elements ... -3.0 kJ per mole of atoms
E_tot ... -13.86 eV for the cell shown

***

Material: CaPr2Cu2Ge2
Method: DFT, PBE-GGA
State: optimized geometry

The structure in CIF format:
```
data_CaPr2Cu2Ge2
_chemical_formula_sum 'Ca3 Pr6 Cu6 Ge6'
_cell_length_a 4.3488
_cell_length_b 4.3488
_cell_length_c 30.4489
_cell_angle_alpha 90.00
_cell_angle_beta 90.00
_cell_angle_gamma 120.00
_symmetry_space_group_name_H-M 'R -3 m'
_symmetry_Int_Tables_number 166
_symmetry_space_group_name_Hall '-R 3 2"'
loop_
_atom_site_label
_atom_site_fract_x
_atom_site_fract_y
_atom_site_fract_z
Ca1 0.0000 0.0000 0.0000
Pr1 0.0000 0.0000 0.1221
Cu1 0.0000 0.0000 0.3965
Ge1 0.0000 0.0000 0.2663
```

Summary:
Energy relative to the elements ... -43.4 kJ per mole of atoms
E_tot ... -96.42 eV for the cell shown

***

Material: Ba2ZnSe3
Method: DFT, PBE-GGA
State: optimized geometry

The structure in CIF format:
```
data_Ba2ZnSe3
_chemical_formula_sum 'Ba8 Zn4 Se12'
_cell_length_a 9.285
_cell_length_b 4.464
_cell_length_c 17.866
_cell_angle_alpha 90.00
_cell_angle_beta 90.00
_cell_angle_gamma 90.00
_symmetry_space_group_name_H-M 'P n m a'
_symmetry_Int_Tables_number 62
_symmetry_space_group_name_Hall '-P 2ac 2n'
loop_
_atom_site_label
_atom_site_fract_x
_atom_site_fract_y
_atom_site_fract_z
Ba1 0.082 0.250 0.213
Ba2 0.248 0.750 0.457
Zn1 0.137 0.250 0.636
Se1 0.006 0.750 0.601
Se2 0.127 0.750 0.071
Se3 0.181 0.250 0.774
```

Summary:
E_form (uncorrected) ... -1.601 eV per atom
E_tot ... -100.71 eV for the cell shown

***

Material: SrEuCdPt
Method: DFT, PBE-GGA
State: optimized geometry

The structure in CIF format:
```
data_SrEuCdPt
_chemical_formula_sum 'Sr4 Eu4 Cd4 Pt4'
_cell_length_a 7.580
_cell_length_b 7.580
_cell_length_c 7.580
_cell_angle_alpha 90.00
_cell_angle_beta 90.00
_cell_angle_gamma 90.00
_symmetry_space_group_name_H-M 'F -4 3 m'
_symmetry_Int_Tables_number 216
_symmetry_space_group_name_Hall 'F -4 2 3'
loop_
_atom_site_label
_atom_site_fract_x
_atom_site_fract_y
_atom_site_fract_z
Sr1 0.000 0.000 0.000
Eu1 0.000 0.000 0.500
Cd1 0.250 0.250 0.750
Pt1 0.250 0.250 0.250
```

Summary:
Energy relative to the elements ... -50.5 kJ per mole of atoms
E_tot ... -84.03 eV for the cell shown

***

Material: Ir4W3
Method: DFT, PBE-GGA
State: optimized geometry

The structure in CIF format:
```
data_Ir4W3
_chemical_formula_sum 'Ir4 W3'
_cell_length_a 5.0767
_cell_length_b 5.0767
_cell_length_c 4.9529
_cell_angle_alpha 90.00
_cell_angle_beta 90.00
_cell_angle_gamma 120.00
_symmetry_space_group_name_H-M 'P 6/m m m'
_symmetry_Int_Tables_number 191
_symmetry_space_group_name_Hall '-P 6 2'
loop_
_atom_site_label
_atom_site_fract_x
_atom_site_fract_y
_atom_site_fract_z
Ir1 0.0000 0.0000 0.2421
Ir2 0.3333 0.6667 0.0000
W1 0.0000 0.5000 0.5000
```

Summary:
Energy relative to the elements ... 18.5 kJ per mole of atoms
E_tot ... -72.96 eV for the cell shown

***

Material: BaTb2ReN4
Method: DFT, PBE-GGA
State: optimized geometry

The structure in CIF format:
```
data_BaTb2ReN4
_chemical_formula_sum 'Ba4 Tb8 Re4 N16'
_cell_length_a 3.505
_cell_length_b 12.444
_cell_length_c 12.254
_cell_angle_alpha 90.00
_cell_angle_beta 90.00
_cell_angle_gamma 90.00
_symmetry_space_group_name_H-M 'C m c m'
_symmetry_Int_Tables_number 63
_symmetry_space_group_name_Hall '-C 2c 2'
loop_
_atom_site_label
_atom_site_fract_x
_atom_site_fract_y
_atom_site_fract_z
Ba1 0.000 0.066 0.250
Tb1 0.000 0.371 0.040
Re1 0.000 0.195 0.750
N1 0.000 0.000 0.000
N2 0.000 0.256 0.609
N3 0.000 0.387 0.250
```

Summary:
E_form (uncorrected) ... -0.961 eV per atom
E_tot ... -258.50 eV for the cell shown

***

Material: Si2SbP
Method: DFT, PBE-GGA
State: optimized geometry

The structure in CIF format:
```
data_Si2SbP
_chemical_formula_sum 'Si2 Sb1 P1'
_cell_length_a 3.424
_cell_length_b 4.426
_cell_length_c 4.829
_cell_angle_alpha 90.00
_cell_angle_beta 90.00
_cell_angle_gamma 90.00
_symmetry_space_group_name_H-M 'P m m m'
_symmetry_Int_Tables_number 47
_symmetry_space_group_name_Hall '-P 2 2'
loop_
_atom_site_label
_atom_site_fract_x
_atom_site_fract_y
_atom_site_fract_z
Si1 0.000 0.000 0.000
Si2 0.500 0.500 0.000
Sb1 0.000 0.500 0.500
P1 0.500 0.000 0.500
```

Summary:
E_form (uncorrected) ... 0.613 eV per atom
E_tot ... -17.92 eV for the cell shown

***

Material: Sr3ZrTe
Method: DFT, PBE-GGA
State: optimized geometry

The structure in CIF format:
```
data_Sr3ZrTe
_chemical_formula_sum 'Sr3 Zr1 Te1'
_cell_length_a 6.007
_cell_length_b 6.007
_cell_length_c 6.007
_cell_angle_alpha 90.00
_cell_angle_beta 90.00
_cell_angle_gamma 90.00
_symmetry_space_group_name_H-M 'P m -3 m'
_symmetry_Int_Tables_number 221
_symmetry_space_group_name_Hall '-P 4 2 3'
loop_
_atom_site_label
_atom_site_fract_x
_atom_site_fract_y
_atom_site_fract_z
Sr1 0.000 0.000 0.500
Zr1 0.000 0.000 0.000
Te1 0.500 0.500 0.500
```

Summary:
E_form (uncorrected) ... 0.527 eV per atom
E_tot ... -14.10 eV for the cell shown